No. 1
First-principles (PBE-GGA) data for a relaxed structure of Tc3Pb, as listed in Alexandria via LeMat-Bulk.

Structure (CIF):
```
data_Tc3Pb
_cell_length_a 2.941
_cell_length_b 4.060
_cell_length_c 5.700
_cell_angle_alpha 90.00
_cell_angle_beta 90.00
_cell_angle_gamma 90.00
_symmetry_space_group_name_H-M 'P 1'
_symmetry_Int_Tables_number 1
loop_
_symmetry_equiv_pos_as_xyz
'x,y,z'
loop_
_atom_site_label
_atom_site_type_symbol
_atom_site_fract_x
_atom_site_fract_y
_atom_site_fract_z
Tc1 Tc 0.000 0.000 0.000
Tc2 Tc 0.500 0.500 0.210
Tc3 Tc 0.500 0.500 0.790
Pb1 Pb 0.000 0.000 0.500
```

Results
Excess energy over the best structure of this formula in the dataset = 0.12 eV/f.u.
E = -8.19 eV per atom
Crystal system = orthorhombic
Formation enthalpy at 0 K = 49 kJ/mol of atoms
SG = Pmmm, No. 47
Density = 12.227 g/cm3

---

No. 2
First-principles (PBE-GGA) data for a relaxed structure of HgSb3C, as listed in Alexandria via LeMat-Bulk.

Structure (CIF):
```
data_HgSb3C
_cell_length_a 4.858
_cell_length_b 4.858
_cell_length_c 4.858
_cell_angle_alpha 90.00
_cell_angle_beta 90.00
_cell_angle_gamma 90.00
_symmetry_space_group_name_H-M 'P 1'
_symmetry_Int_Tables_number 1
loop_
_symmetry_equiv_pos_as_xyz
'x,y,z'
loop_
_atom_site_label
_atom_site_type_symbol
_atom_site_fract_x
_atom_site_fract_y
_atom_site_fract_z
Hg1 Hg 0.000 0.000 0.000
Sb1 Sb 0.000 0.500 0.500
Sb2 Sb 0.500 0.000 0.500
Sb3 Sb 0.500 0.500 0.000
C1 C 0.500 0.500 0.500
```

Results
Excess energy over the best structure of this formula in the dataset = 0.00 eV/f.u.
E = -3.45 eV per atom
Crystal system = cubic
Formation energy without anion corrections = 0.932 eV/atom
SG = Pm-3m, No. 221
Density = 8.372 g/cm3

---

No. 3
First-principles (PBE-GGA) data for a relaxed structure of Sr2InBr, as listed in Alexandria via LeMat-Bulk.

Structure (CIF):
```
data_Sr2InBr
_cell_length_a 5.923
_cell_length_b 5.923
_cell_length_c 5.923
_cell_angle_alpha 60.00
_cell_angle_beta 60.00
_cell_angle_gamma 60.00
_symmetry_space_group_name_H-M 'P 1'
_symmetry_Int_Tables_number 1
loop_
_symmetry_equiv_pos_as_xyz
'x,y,z'
loop_
_atom_site_label
_atom_site_type_symbol
_atom_site_fract_x
_atom_site_fract_y
_atom_site_fract_z
Sr1 Sr 0.000 0.000 0.000
Sr2 Sr 0.250 0.250 0.250
In1 In 0.750 0.750 0.750
Br1 Br 0.500 0.500 0.500
```

Results
Excess energy over the best structure of this formula in the dataset = 2.88 eV/f.u.
E = -2.20 eV per atom
Crystal system = cubic
Formation energy without anion corrections = -0.252 eV/atom
SG = F-43m, No. 216
Density = 4.180 g/cm3

---

No. 4
First-principles (PBE-GGA) data for a relaxed structure of CdGa2Pt2, as listed in Alexandria via LeMat-Bulk.

Structure (CIF):
```
data_CdGa2Pt2
_cell_length_a 4.473
_cell_length_b 4.473
_cell_length_c 5.254
_cell_angle_alpha 90.00
_cell_angle_beta 90.00
_cell_angle_gamma 120.00
_symmetry_space_group_name_H-M 'P 1'
_symmetry_Int_Tables_number 1
loop_
_symmetry_equiv_pos_as_xyz
'x,y,z'
loop_
_atom_site_label
_atom_site_type_symbol
_atom_site_fract_x
_atom_site_fract_y
_atom_site_fract_z
Cd1 Cd 0.000 0.000 0.000
Ga1 Ga 0.333 0.667 0.667
Ga2 Ga 0.667 0.333 0.333
Pt1 Pt 0.333 0.667 0.192
Pt2 Pt 0.667 0.333 0.808
```

Results
Excess energy over the best structure of this formula in the dataset = 0.03 eV/f.u.
E = -4.29 eV per atom
Crystal system = trigonal
Formation enthalpy at 0 K = -46 kJ/mol of atoms
SG = P-3m1, No. 164
Density = 11.710 g/cm3

---

No. 5
First-principles (PBE-GGA) data for a relaxed structure of KBaFe2, as listed in Alexandria via LeMat-Bulk.

Structure (CIF):
```
data_KBaFe2
_cell_length_a 5.265
_cell_length_b 5.265
_cell_length_c 4.308
_cell_angle_alpha 90.00
_cell_angle_beta 90.00
_cell_angle_gamma 90.00
_symmetry_space_group_name_H-M 'P 1'
_symmetry_Int_Tables_number 1
loop_
_symmetry_equiv_pos_as_xyz
'x,y,z'
loop_
_atom_site_label
_atom_site_type_symbol
_atom_site_fract_x
_atom_site_fract_y
_atom_site_fract_z
K1 K 0.000 0.000 0.000
Ba1 Ba 0.500 0.500 0.000
Fe1 Fe 0.000 0.500 0.500
Fe2 Fe 0.500 0.000 0.500
```

Results
Excess energy over the best structure of this formula in the dataset = 2.21 eV/f.u.
E = -3.79 eV per atom
Crystal system = tetragonal
Formation enthalpy at 0 K = 115 kJ/mol of atoms
SG = P4/mmm, No. 123
Density = 4.007 g/cm3

---

No. 6
First-principles (PBE-GGA) data for a relaxed structure of DyCo4Pt, as listed in Alexandria via LeMat-Bulk.

Structure (CIF):
```
data_DyCo4Pt
_cell_length_a 4.917
_cell_length_b 4.917
_cell_length_c 4.917
_cell_angle_alpha 60.00
_cell_angle_beta 60.00
_cell_angle_gamma 60.00
_symmetry_space_group_name_H-M 'P 1'
_symmetry_Int_Tables_number 1
loop_
_symmetry_equiv_pos_as_xyz
'x,y,z'
loop_
_atom_site_label
_atom_site_type_symbol
_atom_site_fract_x
_atom_site_fract_y
_atom_site_fract_z
Dy1 Dy 0.000 0.000 0.000
Co1 Co 0.128 0.624 0.624
Co2 Co 0.624 0.128 0.624
Co3 Co 0.624 0.624 0.128
Co4 Co 0.624 0.624 0.624
Pt1 Pt 0.250 0.250 0.250
```

Results
E = -6.75 eV per atom
Crystal system = cubic
Formation enthalpy at 0 K = -23 kJ/mol of atoms
SG = F-43m, No. 216
Density = 11.721 g/cm3

---

> The lowest E belongs to which entry?

Tc3Pb